[1]
Compound: Ce2NpRuN4
Source: the Alexandria database
Functional: GGA-PBE
Structure: optimized geometry

Unit cell a=6.055 b=6.055 c=11.823 alpha=90.00 beta=90.00 gamma=147.89
Fractional positions:
Ce: 0.132 0.868 0.554
Ce: 0.132 0.868 0.946
Ce: 0.868 0.132 0.054
Ce: 0.868 0.132 0.446
Np: 0.389 0.611 0.750
Np: 0.611 0.389 0.250
Ru: 0.351 0.649 0.250
Ru: 0.649 0.351 0.750
N: 0.035 0.965 0.750
N: 0.217 0.783 0.134
N: 0.217 0.783 0.366
N: 0.500 0.500 0.000
N: 0.500 0.500 0.500
N: 0.783 0.217 0.634
N: 0.783 0.217 0.866
N: 0.965 0.035 0.250

## Properties
ΔE_f (raw): -948 meV per atom
spin magnetization: 4.9 Bohr magnetons per cell
SG: No. 63
calculated volume: 14.40 A^3/atom

---

[2]
Compound: Tb2NiCl2
Source: the Alexandria database
Functional: GGA-PBE
Structure: optimized geometry

Unit cell a=10.624 b=10.624 c=10.624 alpha=20.82 beta=20.82 gamma=20.82
Fractional positions:
Tb: 0.115 0.115 0.115
Tb: 0.885 0.885 0.885
Ni: 0.500 0.500 0.500
Cl: 0.275 0.275 0.275
Cl: 0.725 0.725 0.725

## Properties
ΔE_f (raw): -1337 meV per atom
spin magnetization: 0.0 Bohr magnetons per cell
SG: No. 166
calculated volume: 26.53 A^3/atom